The following is a DFT calculation (PBE) of an optimized crystal structure of Er2PuPb.

**Final energy**: -27.63 eV/f.u.
**Formation energy from the elements**: -11.2 kJ/mol of atoms
**Offset from the most stable computed form**: 54 meV/atom
**Calculated density**: 11430 kg/m³

Unit cell a=3.550 b=3.550 c=9.057 alpha=90.00 beta=90.00 gamma=90.00
Space group P4/mmm (No. 123)
Unique sites:
Er1 0.000 0.000 0.240 [2 per cell]
Pu1 0.500 0.500 0.500 [1 per cell]
Pb1 0.500 0.500 0.000 [1 per cell]